(1)
## Pr6Nd2YEr (PBE)

Data for Pr6Nd2YEr after structural relaxation.

DFT total energy: -4.813 eV/atom
E_form: 1.10 eV/f.u.
volume: 35.39 Å³ per atom
space group: C2/c

Unit cell a=9.0696 b=9.0696 c=9.8753 alpha=94.19 beta=94.19 gamma=118.31
Fractional positions:
Pr (0.0126, 0.5707, 0.1908)
Pr (0.1221, 0.7565, 0.5533)
Pr (0.2435, 0.8779, 0.9467)
Pr (0.2913, 0.5007, 0.3821)
Pr (0.4293, 0.9874, 0.3092)
Pr (0.4993, 0.7087, 0.1179)
Pr (0.5007, 0.2913, 0.8821)
Pr (0.5707, 0.0126, 0.6908)
Pr (0.7087, 0.4993, 0.6179)
Pr (0.7565, 0.1221, 0.0533)
Pr (0.8779, 0.2435, 0.4467)
Pr (0.9874, 0.4293, 0.8092)
Nd (0.1964, 0.2986, 0.0431)
Nd (0.2986, 0.1964, 0.5431)
Nd (0.7014, 0.8036, 0.4569)
Nd (0.8036, 0.7014, 0.9569)
Y (0.0215, 0.9785, 0.2500)
Y (0.9785, 0.0215, 0.7500)
Er (0.4098, 0.5902, 0.7500)
Er (0.5902, 0.4098, 0.2500)

***

(2)
## HgAsIr2 (PBE)

Data for HgAsIr2 after structural relaxation.

DFT total energy: -5.136 eV/atom
E_form: 2.13 eV/f.u.
volume: 16.66 Å³ per atom
space group: Fm-3m

Unit cell a=4.5504 b=4.5504 c=4.5504 alpha=60.00 beta=60.00 gamma=60.00
Fractional positions:
Hg (0.0000, 0.0000, 0.0000)
As (0.5000, 0.5000, 0.5000)
Ir (0.2500, 0.2500, 0.2500)
Ir (0.7500, 0.7500, 0.7500)

***

(3)
## Nd6YHo2 (PBE)

Data for Nd6YHo2 after structural relaxation.

DFT total energy: -4.715 eV/atom
E_form: 1.79 eV/f.u.
volume: 34.34 Å³ per atom
space group: C2/c

Unit cell a=10.0766 b=10.0766 c=6.3204 alpha=100.12 beta=100.12 gamma=94.41
Fractional positions:
Nd (0.0628, 0.8260, 0.9856)
Nd (0.0763, 0.5091, 0.2705)
Nd (0.1740, 0.9372, 0.5144)
Nd (0.3490, 0.4385, 0.0539)
Nd (0.4385, 0.3490, 0.5539)
Nd (0.4909, 0.9237, 0.2295)
Nd (0.5091, 0.0763, 0.7705)
Nd (0.5615, 0.6510, 0.4461)
Nd (0.6510, 0.5615, 0.9461)
Nd (0.8260, 0.0628, 0.4856)
Nd (0.9237, 0.4909, 0.7295)
Nd (0.9372, 0.1740, 0.0144)
Y (0.3200, 0.6800, 0.7500)
Y (0.6800, 0.3200, 0.2500)
Ho (0.1304, 0.2657, 0.5993)
Ho (0.2657, 0.1304, 0.0993)
Ho (0.7343, 0.8696, 0.9007)
Ho (0.8696, 0.7343, 0.4007)

***

(4)
## KMn (PBE)

Data for KMn after structural relaxation.

DFT total energy: -3.466 eV/atom
E_form: 3.34 eV/f.u.
volume: 85.48 Å³ per atom
space group: Pm-3n

Unit cell a=10.0853 b=10.0853 c=10.0853 alpha=90.00 beta=90.00 gamma=90.00
Fractional positions:
K (0.0000, 0.2500, 0.5000)
K (0.0000, 0.7500, 0.5000)
K (0.2500, 0.5000, 0.0000)
K (0.5000, 0.0000, 0.2500)
K (0.5000, 0.0000, 0.7500)
K (0.7500, 0.5000, 0.0000)
Mn (0.0000, 0.5000, 0.2500)
Mn (0.0000, 0.5000, 0.7500)
Mn (0.2500, 0.0000, 0.5000)
Mn (0.5000, 0.2500, 0.0000)
Mn (0.5000, 0.7500, 0.0000)
Mn (0.7500, 0.0000, 0.5000)

***

(5)
## Sc3GaO (PBE)

Data for Sc3GaO after structural relaxation.

formation energy from raw total energies: -1376 meV per atom
DFT total energy: -6.772 eV/atom
volume: 17.59 Å³ per atom
space group: C2/m

Unit cell a=7.9237 b=7.9237 c=7.0792 alpha=91.97 beta=91.97 gamma=23.33
Fractional positions:
Sc (0.0558, 0.0558, 0.1951)
Sc (0.2605, 0.2605, 0.7077)
Sc (0.4092, 0.4092, 0.4332)
Sc (0.5908, 0.5908, 0.5668)
Sc (0.7395, 0.7395, 0.2923)
Sc (0.9442, 0.9442, 0.8049)
Ga (0.3570, 0.3570, 0.0668)
Ga (0.6430, 0.6430, 0.9332)
O (0.1675, 0.1675, 0.4402)
O (0.8325, 0.8325, 0.5598)

***

(6)
## La4CuOs (PBE)

Data for La4CuOs after structural relaxation.

DFT total energy: -4.888 eV/atom
E_form: 5.71 eV/f.u.
volume: 27.17 Å³ per atom
space group: F-43m

Unit cell a=6.1320 b=6.1320 c=6.1320 alpha=60.00 beta=60.00 gamma=60.00
Fractional positions:
La (0.1238, 0.1238, 0.1238)
La (0.1238, 0.1238, 0.6286)
La (0.1238, 0.6286, 0.1238)
La (0.6286, 0.1238, 0.1238)
Cu (0.5000, 0.5000, 0.5000)
Os (0.7500, 0.7500, 0.7500)

***

(7)
## HoLuAlNi (PBE)

Data for HoLuAlNi after structural relaxation.

DFT total energy: -5.005 eV/atom
E_form: -1.40 eV/f.u.
volume: 20.81 Å³ per atom
space group: F-43m

Unit cell a=4.9012 b=4.9012 c=4.9012 alpha=60.00 beta=60.00 gamma=60.00
Fractional positions:
Ho (0.0000, 0.0000, 0.0000)
Lu (0.5000, 0.5000, 0.5000)
Al (0.2500, 0.2500, 0.2500)
Ni (0.7500, 0.7500, 0.7500)

***

(8)
## FeAs2Au2 (PBE)

Data for FeAs2Au2 after structural relaxation.

DFT total energy: -4.754 eV/atom
E_form: 0.54 eV/f.u.
volume: 18.34 Å³ per atom
space group: P4/mbm

Unit cell a=6.1135 b=6.1135 c=4.9076 alpha=90.00 beta=90.00 gamma=90.00
Fractional positions:
Fe (0.0000, 0.0000, 0.0000)
Fe (0.5000, 0.5000, 0.0000)
As (0.1448, 0.3552, 0.0000)
As (0.3552, 0.8552, 0.0000)
As (0.6448, 0.1448, 0.0000)
As (0.8552, 0.6448, 0.0000)
Au (0.2318, 0.2682, 0.5000)
Au (0.2682, 0.7682, 0.5000)
Au (0.7318, 0.2318, 0.5000)
Au (0.7682, 0.7318, 0.5000)

***

(9)
## Ho4RuPt3 (PBE)

Data for Ho4RuPt3 after structural relaxation.

DFT total energy: -6.774 eV/atom
E_form: -8.48 eV/f.u.
volume: 20.56 Å³ per atom
space group: P4/mmm

Unit cell a=3.4344 b=3.4344 c=13.9470 alpha=90.00 beta=90.00 gamma=90.00
Fractional positions:
Ho (0.0000, 0.0000, 0.1193)
Ho (0.0000, 0.0000, 0.3727)
Ho (0.0000, 0.0000, 0.6273)
Ho (0.0000, 0.0000, 0.8807)
Ru (0.5000, 0.5000, 0.0000)
Pt (0.5000, 0.5000, 0.2475)
Pt (0.5000, 0.5000, 0.5000)
Pt (0.5000, 0.5000, 0.7525)

***

(10)
## PuZr2ScN4 (PBE)

Data for PuZr2ScN4 after structural relaxation.

formation energy from raw total energies: -1659 meV per atom
DFT total energy: -10.541 eV/atom
volume: 12.71 Å³ per atom
space group: Imma

Unit cell a=6.5965 b=6.5965 c=6.5965 alpha=119.91 beta=119.85 gamma=90.21
Fractional positions:
Pu (0.5000, 0.0000, 0.0000)
Pu (0.5000, 0.5000, 0.5000)
Zr (0.0000, 0.0000, 0.0000)
Zr (0.0000, 0.0000, 0.5000)
Zr (0.0000, 0.5000, 0.0000)
Zr (0.5000, 0.0000, 0.5000)
Sc (0.0000, 0.5000, 0.5000)
Sc (0.5000, 0.5000, 0.0000)
N (0.2410, 0.7490, 0.4921)
N (0.2431, 0.2510, 0.9921)
N (0.2462, 0.2465, 0.5003)
N (0.2462, 0.7459, 0.9997)
N (0.7538, 0.2541, 0.0003)
N (0.7538, 0.7535, 0.4997)
N (0.7569, 0.7490, 0.0079)
N (0.7590, 0.2510, 0.5079)

***

(11)
## ZrSc2Se (PBE)

Data for ZrSc2Se after structural relaxation.

formation energy from raw total energies: -397 meV per atom
DFT total energy: -6.571 eV/atom
volume: 21.28 Å³ per atom
space group: Cmmm

Unit cell a=4.9907 b=4.9907 c=3.4216 alpha=90.00 beta=90.00 gamma=92.76
Fractional positions:
Zr (0.0000, 0.0000, 0.0000)
Sc (0.0000, 0.5000, 0.5000)
Sc (0.5000, 0.0000, 0.5000)
Se (0.5000, 0.5000, 0.0000)

***

(12)
## BaSc (PBE)

Data for BaSc after structural relaxation.

DFT total energy: -2.413 eV/atom
E_form: 3.43 eV/f.u.
volume: 84.12 Å³ per atom
space group: Pm-3n

Unit cell a=10.0312 b=10.0312 c=10.0312 alpha=90.00 beta=90.00 gamma=90.00
Fractional positions:
Ba (0.0000, 0.2500, 0.5000)
Ba (0.0000, 0.7500, 0.5000)
Ba (0.2500, 0.5000, 0.0000)
Ba (0.5000, 0.0000, 0.2500)
Ba (0.5000, 0.0000, 0.7500)
Ba (0.7500, 0.5000, 0.0000)
Sc (0.0000, 0.5000, 0.2500)
Sc (0.0000, 0.5000, 0.7500)
Sc (0.2500, 0.0000, 0.5000)
Sc (0.5000, 0.2500, 0.0000)
Sc (0.5000, 0.7500, 0.0000)
Sc (0.7500, 0.0000, 0.5000)